Entry 1:
This record from the Alexandria database describes an optimized crystal structure of Tb4CePm7. The functional is PBE.

```
12
Lattice="6.3206 0.0000 0.0000 -0.0006 7.2736 0.0000 -2.1133 -0.0019 8.7333" Properties=species:S:1:pos:R:3 pbc="T T T"
Tb 1.0399 0.0009 1.4335
Tb -0.0105 1.8127 7.2609
Tb 4.2172 5.4590 1.4724
Tb 3.1668 7.2708 7.2998
Ce -1.0569 3.6359 4.3666
Pm -1.0566 -0.0009 4.3666
Pm 1.0281 3.6416 1.4761
Pm -0.0052 5.4421 7.2709
Pm 2.1022 1.8282 4.3722
Pm 2.1045 5.4435 4.3611
Pm 4.2119 1.8296 1.4624
Pm 3.1786 3.6301 7.2571
```

Entry 2:
This record from the Alexandria database describes an optimized crystal structure of Tb6CePm4. The functional is PBE.

```
11
Lattice="-3.3201 3.3201 8.5136 3.3201 -3.3201 8.5136 3.3201 3.3201 -8.5136" Properties=species:S:1:pos:R:3 pbc="T T T"
Tb 3.3201 0.0000 0.0000
Tb 2.1116 -2.1116 6.3595
Tb 1.2085 1.2085 2.1541
Tb 0.0000 3.3201 0.0000
Tb -2.1116 2.1116 6.3595
Tb 2.1116 2.1116 10.6677
Ce 0.0000 0.0000 8.5136
Pm 2.0601 2.0601 -2.9683
Pm 1.2601 -1.2601 11.4819
Pm 1.2601 1.2601 5.5452
Pm -1.2601 1.2601 11.4819
```

Entry 3:
This record from the Alexandria database describes an optimized crystal structure of Tb4CePm4. The functional is PBE.

```
9
Lattice="-5.3919 5.3919 2.5495 5.3919 -5.3919 2.5495 5.3919 5.3919 -2.5495" Properties=species:S:1:pos:R:3 pbc="T T T"
Tb 1.7739 1.7739 0.0000
Tb 3.6180 -3.6180 2.5495
Tb -3.6180 3.6180 2.5495
Tb 3.6180 3.6180 2.5495
Ce 0.0000 0.0000 2.5495
Pm 5.3919 1.8311 0.0000
Pm 1.8311 5.3919 0.0000
Pm 3.5608 0.0000 2.5495
Pm 0.0000 3.5608 2.5495
```

Entry 4:
This record from the Alexandria database describes an optimized crystal structure of Tb6CePm12. The functional is PBE.

```
19
Lattice="8.9450 0.0000 0.0000 -4.2124 8.0656 0.0000 -2.1420 -4.0648 8.9896" Properties=species:S:1:pos:R:3 pbc="T T T"
Tb -1.0198 0.6114 2.9113
Tb -2.3297 1.9758 7.5606
Tb 1.9719 -1.0259 4.0896
Tb 0.6188 5.0267 4.9000
Tb 4.9204 2.0249 1.4291
Tb 3.6105 3.3894 6.0784
Ce 2.3663 4.0328 0.0000
Pm -1.4397 -1.2733 6.2486
Pm -2.3379 3.4758 4.3796
Pm -0.9989 3.8198 1.2572
Pm 1.7320 -0.1512 0.5519
Pm 1.8372 -2.6237 7.1307
Pm 0.5855 1.5901 5.9749
Pm 2.0052 2.4107 3.0148
Pm 0.7534 6.6245 1.8589
Pm 0.8587 4.1519 8.4377
Pm 3.5896 0.1810 7.7325
Pm 4.9286 0.5250 4.6100
Pm 4.0304 5.2741 2.7411
```

Entry 5:
This record from the Alexandria database describes an optimized crystal structure of Tb3CePm3. The functional is PBE.

```
14
Lattice="5.8002 -5.7354 0.0000 5.8002 5.7354 0.0000 -0.0010 0.0000 7.1851" Properties=species:S:1:pos:R:3 pbc="T T T"
Tb 5.8002 3.3367 0.0000
Tb 5.7997 3.2567 3.5926
Tb 2.5292 0.0000 7.1763
Tb 9.0703 0.0000 0.0089
Tb 5.7997 -3.2567 3.5926
Tb 5.8002 -3.3367 0.0000
Ce 2.4279 0.0000 3.5999
Ce 9.1716 0.0000 3.5852
Pm 2.8997 2.8610 1.8246
Pm 2.8997 -2.8610 1.8246
Pm 5.7970 0.0000 1.7996
Pm 5.8025 0.0000 5.3855
Pm 8.6998 2.8610 5.3606
Pm 8.6998 -2.8610 5.3606
```

Entry 6:
This record from the Alexandria database describes an optimized crystal structure of Tb4CePm2. The functional is PBE.

```
14
Lattice="6.2475 0.0000 0.0000 0.0000 3.6018 0.0000 -2.1002 0.0000 20.2724" Properties=species:S:1:pos:R:3 pbc="T T T"
Tb 0.0000 0.0000 0.0000
Tb -1.0485 1.8009 11.5560
Tb 1.0255 1.8009 14.4033
Tb 2.0865 0.0000 5.8140
Tb 3.1237 1.8009 0.0000
Tb 2.0752 0.0000 11.5560
Tb 4.1493 0.0000 14.4033
Tb 5.2102 1.8009 5.8140
Ce 1.0050 1.8009 8.6794
Ce 4.1287 0.0000 8.6794
Pm -1.0351 1.8009 17.3412
Pm 1.0252 1.8009 2.9006
Pm 2.0886 0.0000 17.3412
Pm 4.1489 0.0000 2.9006
```

Entry 7:
This record from the Alexandria database describes an optimized crystal structure of TbCe2Pm. The functional is PBE.

```
12
Lattice="3.5097 0.0000 0.0000 -1.7548 3.0395 0.0000 0.0000 0.0000 34.9190" Properties=species:S:1:pos:R:3 pbc="T T T"
Tb 0.0000 0.0000 0.0000
Tb 0.0000 2.0263 23.2793
Tb 1.7548 1.0132 11.6396
Ce 0.0000 0.0000 14.5662
Ce 0.0000 0.0000 20.4411
Ce 0.0000 2.0263 2.9265
Ce 0.0000 2.0263 8.8014
Ce 1.7548 1.0132 26.2058
Ce 1.7548 1.0132 32.0808
Pm 0.0000 0.0000 5.9132
Pm 0.0000 2.0263 29.1925
Pm 1.7548 1.0132 17.5529
```

E above lowest polymorph	5	meV per atom

Entry 8:
This record from the Alexandria database describes an optimized crystal structure of Tb2CePm. The functional is PBE.

```
4
Lattice="5.0565 0.0000 0.0000 0.0000 5.0565 0.0000 0.0000 0.0000 5.0213" Properties=species:S:1:pos:R:3 pbc="T T T"
Tb 0.0000 2.5282 0.0000
Tb 2.5282 0.0000 0.0000
Ce 0.0000 0.0000 2.5107
Pm 2.5282 2.5282 2.5107
```

E above lowest polymorph	21	meV per atom

Entry 9:
This record from the Alexandria database describes an optimized crystal structure of TbCePm6. The functional is PBE.

```
8
Lattice="0.0000 5.1162 7.2578 3.6300 0.0000 7.2578 3.6300 5.1162 0.0000" Properties=species:S:1:pos:R:3 pbc="T T T"
Tb 0.0000 0.0000 0.0000
Ce 3.6300 5.1162 7.2578
Pm 1.8150 2.5581 1.7772
Pm 3.6300 5.1162 3.6652
Pm 1.8150 2.5581 5.4806
Pm 5.4450 7.6743 9.0350
Pm 3.6300 5.1162 10.8504
Pm 5.4450 7.6743 12.7384
```

Entry 10:
This record from the Alexandria database describes an optimized crystal structure of TbCe2Pm. The functional is PBE.

```
4
Lattice="4.9300 0.0000 0.0000 0.0000 4.9300 0.0000 0.0000 0.0000 5.1106" Properties=species:S:1:pos:R:3 pbc="T T T"
Tb 0.0000 0.0000 0.0000
Ce 0.0000 2.4650 2.5553
Ce 2.4650 0.0000 2.5553
Pm 2.4650 2.4650 0.0000
```

E above lowest polymorph	11	meV per atom

Entry 11:
This record from the Alexandria database describes an optimized crystal structure of Tb2CePm2. The functional is PBE.

```
10
Lattice="4.5541 0.0000 0.0000 0.0000 4.5541 0.0000 0.0000 0.0000 16.6207" Properties=species:S:1:pos:R:3 pbc="T T T"
Tb 0.0000 2.2771 4.1552
Tb 0.0000 2.2771 12.4655
Tb 2.2771 0.0000 4.1552
Tb 2.2771 0.0000 12.4655
Ce 0.0000 0.0000 0.0000
Ce 2.2771 2.2771 8.3103
Pm 0.0000 0.0000 6.7675
Pm 0.0000 0.0000 9.8531
Pm 2.2771 2.2771 1.5428
Pm 2.2771 2.2771 15.0778
```

Entry 12:
This record from the Alexandria database describes an optimized crystal structure of Tb2Ce2Pm7. The functional is PBE.

```
11
Lattice="5.5765 -5.8656 0.0000 5.5765 5.8656 0.0000 -2.2514 0.0000 5.6273" Properties=species:S:1:pos:R:3 pbc="T T T"
Tb 2.3069 0.0000 0.4543
Tb 6.5947 0.0000 5.1730
Ce 5.5765 3.3159 0.0000
Ce 5.5765 -3.3159 0.0000
Pm -1.1257 0.0000 2.8136
Pm 2.9297 3.0139 1.8013
Pm 3.0053 0.0000 3.9229
Pm 5.9718 3.0139 3.8260
Pm 2.9297 -3.0139 1.8013
Pm 5.8963 0.0000 1.7044
Pm 5.9718 -3.0139 3.8260
```

Asked for energy across the records above, the calculation gives -4.784; -4.482; -4.788; -4.647; -4.661; -4.808; -5.206; -4.914; -4.836; -5.199; -4.550; -4.748 eV/atom in order.
Asked for ΔE_f across the records above, the calculation gives 25; 311; 41; 128; 207; 43; 107; 72; 47; 113; 389; 195 meV/atom in order.
Asked for volume across the records above, the calculation gives 33.46; 34.13; 32.94; 34.14; 34.15; 32.58; 31.04; 32.10; 33.70; 31.05; 34.47; 33.47 Å³ per atom in order.